ZnC | PBE | optimized geometry

a = 2.498 Å, b = 2.498 Å, c = 11.554 Å
α = 90.00°, β = 90.00°, γ = 120.00°
Sites, in units of the cell vectors:
Zn  0.333  0.667  0.116
Zn  0.667  0.333  0.884
C  0.333  0.667  0.500
C  0.667  0.333  0.500

Calculated values
N(E_F), states/eV/atom: 0.2209
Uncorrected energy, eV per atom: -5.17
SG: P-3m1, No. 164
Energy above the lowest structure with this stoichiometry, kJ/mol of formula units: 0.0